# CsErCrF6

A geometry-optimized CsErCrF6 structure (GGA+U, Alexandria via LeMat-Bulk).

a = 8.201 Å, b = 7.634 Å, c = 8.045 Å
α = 118.32°, β = 120.64°, γ = 90.00°
Last column: magnetic moment on the atom in μB.
Fractional positions:
Cs1 0.825 0.575 0.651  0.00
Cs2 0.175 0.425 0.349  0.00
Er1 0.500 0.000 0.500  0.01
Er2 0.000 0.000 0.500  0.01
Cr1 0.500 0.500 0.000  3.82
Cr2 0.500 0.000 0.000  3.82
F1 0.448 0.698 0.896  0.00
F2 0.816 0.066 0.633  0.00
F3 0.822 0.090 0.264  0.01
F4 0.442 0.674 0.264  0.01
F5 0.442 0.090 0.264  0.01
F6 0.822 0.674 0.264  0.01
F7 0.552 0.302 0.104  0.00
F8 0.184 0.934 0.367  0.00
F9 0.178 0.910 0.736  0.01
F10 0.558 0.326 0.736  0.01
F11 0.558 0.910 0.736  0.01
F12 0.178 0.326 0.736  0.01

## Properties
- V (Å³ per cell) = 361.4
- crystal system = orthorhombic
- electronic total energy (eV/atom) = -6.011